Record 1
Entry from the Alexandria database: a relaxed ScTeCl crystal (PBE).

Cell: 7.595 7.595 7.595 Å, 154.44 154.44 36.47°
Atoms (fractional coordinates):
Sc  0.000  0.000  0.000
Te  0.633  0.633  0.000
Cl  0.396  0.396  0.000

Volume   81 Å³ per cell
Formation energy without anion corrections   -1.214 eV per atom

=====

Record 2
Entry from the Alexandria database: a relaxed ScTe2Cl crystal (PBE).

Cell: 5.727 5.727 6.419 Å, 102.47 102.47 39.75°
Atoms (fractional coordinates):
Sc  0.000  0.000  0.000
Te  0.566  0.566  0.349
Te  0.709  0.709  0.040
Cl  0.389  0.389  0.751

Polymorph energy (0 for the lowest one)   0 meV per atom
Volume   131 Å³ per cell
Formation energy without anion corrections   -1.065 eV per atom

=====

Record 3
Entry from the Alexandria database: a relaxed Sc2TeCl crystal (PBE).

Cell: 3.697 3.826 6.519 Å, 90.00 90.06 90.00°
Atoms (fractional coordinates):
Sc  0.001  0.000  0.245
Sc  0.999  0.000  0.755
Te  0.500  0.500  0.000
Cl  0.000  0.500  0.500

Polymorph energy (0 for the lowest one)   85 meV per atom
Volume   92 Å³ per cell
Formation energy without anion corrections   -1.056 eV per atom

=====

Record 4
Entry from the Alexandria database: a relaxed Sc2TeCl crystal (PBE).

Cell: 8.060 8.060 8.060 Å, 28.80 28.80 28.80°
Atoms (fractional coordinates):
Sc  0.116  0.116  0.116
Sc  0.884  0.884  0.884
Te  0.000  0.000  0.000
Cl  0.500  0.500  0.500

Polymorph energy (0 for the lowest one)   617 meV per atom
Volume   107 Å³ per cell
Formation energy without anion corrections   -0.524 eV per atom

=====

Record 5
Entry from the Alexandria database: a relaxed Sc2TeCl crystal (PBE).

Cell: 6.168 6.168 6.168 Å, 147.13 132.90 58.63°
Atoms (fractional coordinates):
Sc  0.000  0.000  0.000
Sc  0.722  0.222  0.500
Te  0.491  0.491  0.000
Cl  0.198  0.698  0.500

Polymorph energy (0 for the lowest one)   315 meV per atom
Volume   93 Å³ per cell
Formation energy without anion corrections   -0.826 eV per atom

=====

Record 6
Entry from the Alexandria database: a relaxed ScTe4Cl crystal (PBE).

Cell: 6.262 6.262 6.262 Å, 60.00 60.00 60.00°
Atoms (fractional coordinates):
Sc  0.000  0.000  0.000
Te  0.124  0.625  0.625
Te  0.625  0.124  0.625
Te  0.625  0.625  0.124
Te  0.625  0.625  0.625
Cl  0.250  0.250  0.250

Volume   174 Å³ per cell
Formation energy without anion corrections   -0.012 eV per atom